Entry A
SmTmAgRu: relaxed, PBE-GGA.

Structure (POSCAR):
```
SmTmAgRu
1.0
0.0000 3.5223 3.5223
3.5223 0.0000 3.5223
3.5223 3.5223 0.0000
Sm Tm Ag Ru
1 1 1 1
direct
0.0000 0.0000 0.0000 Sm
0.5000 0.5000 0.5000 Tm
0.2500 0.2500 0.2500 Ag
0.7500 0.7500 0.7500 Ru
```

Values from the calculation:
As for the calculated volume: 87 Å³ per cell.

Entry B
SmTmAgRu: relaxed, PBE-GGA.

Structure (POSCAR):
```
SmTmAgRu
1.0
3.4281 0.0000 0.0000
0.0000 3.4281 0.0000
0.0000 0.0000 7.5561
Sm Tm Ag Ru
1 1 1 1
direct
0.0000 0.0000 0.0000 Sm
0.0000 0.0000 0.5553 Tm
0.5000 0.5000 0.2949 Ag
0.5000 0.5000 0.7669 Ru
```

Values from the calculation:
As for the calculated volume: 89 Å³ per cell.

Need the numbers? Relative energies in eV/atom: entry A 0.070; entry B 0.000.

Entry A
SmYAgRu: relaxed, PBE-GGA.

Structure (POSCAR):
```
SmYAgRu
1.0
0.0000 3.5497 3.5497
3.5497 0.0000 3.5497
3.5497 3.5497 0.0000
Sm Y Ag Ru
1 1 1 1
direct
0.0000 0.0000 0.0000 Sm
0.5000 0.5000 0.5000 Y
0.2500 0.2500 0.2500 Ag
0.7500 0.7500 0.7500 Ru
```

Values from the calculation:
As for the calculated volume: 89 Å³ per cell.

Entry B
SmYAgRu: relaxed, PBE-GGA.

Structure (POSCAR):
```
SmYAgRu
1.0
3.4624 0.0000 0.0000
0.0000 3.4624 0.0000
0.0000 0.0000 7.5782
Sm Y Ag Ru
1 1 1 1
direct
0.0000 0.0000 0.0000 Sm
0.0000 0.0000 0.5533 Y
0.5000 0.5000 0.2860 Ag
0.5000 0.5000 0.7726 Ru
```

Values from the calculation:
As for the calculated volume: 91 Å³ per cell.

Need the numbers? Relative energies in eV/atom: entry A 0.059; entry B 0.000.

Entry A
AgSn3Ru: relaxed, PBE-GGA.

Structure (POSCAR):
```
AgSn3Ru
1.0
5.1193 0.0000 0.0000
0.0000 5.1193 0.0000
0.0000 0.0000 5.1193
Ag Sn Ru
1 3 1
direct
0.0000 0.0000 0.0000 Ag
0.0000 0.5000 0.5000 Sn
0.5000 0.0000 0.5000 Sn
0.5000 0.5000 0.0000 Sn
0.5000 0.5000 0.5000 Ru
```

Values from the calculation:
As for the calculated volume: 134 Å³ per cell.

Entry B
AgSn3Ru: relaxed, PBE-GGA.

Structure (POSCAR):
```
AgSn3Ru
1.0
5.2517 0.0000 0.0000
0.0000 5.2517 0.0000
0.0000 0.0000 5.2517
Ag Sn Ru
1 3 1
direct
0.0000 0.0000 0.0000 Ag
0.0000 0.0000 0.5000 Sn
0.0000 0.5000 0.0000 Sn
0.5000 0.0000 0.0000 Sn
0.5000 0.5000 0.5000 Ru
```

Values from the calculation:
As for the calculated volume: 145 Å³ per cell.

Need the numbers? Relative energies in eV/atom: entry A 0.000; entry B 0.919.

Entry A
SrAgRu: relaxed, PBE-GGA.

Structure (POSCAR):
```
SrAgRu
1.0
4.5802 0.0000 0.0000
-2.2901 3.9665 0.0000
0.0000 0.0000 4.0005
Sr Ag Ru
1 1 1
direct
0.0000 0.0000 0.0000 Sr
0.6667 0.3333 0.5000 Ag
0.3333 0.6667 0.5000 Ru
```

Values from the calculation:
As for the calculated volume: 73 Å³ per cell.

Entry B
SrAgRu: relaxed, PBE-GGA.

Structure (POSCAR):
```
SrAgRu
1.0
0.0000 3.4272 3.4272
3.4272 0.0000 3.4272
3.4272 3.4272 0.0000
Sr Ag Ru
1 1 1
direct
0.0000 0.0000 0.0000 Sr
0.2500 0.2500 0.2500 Ag
0.7500 0.7500 0.7500 Ru
```

Values from the calculation:
As for the calculated volume: 81 Å³ per cell.

Need the numbers? Relative energies in eV/atom: entry A 0.000; entry B 0.753.

Entry A
SrAgRu: relaxed, PBE-GGA.

Structure (POSCAR):
```
SrAgRu
1.0
3.2146 0.0000 0.0000
-1.6073 2.7839 0.0000
0.0000 0.0000 7.3200
Sr Ag Ru
1 1 1
direct
0.0000 0.0000 0.0000 Sr
0.3333 0.6667 0.3829 Ag
0.6667 0.3333 0.6792 Ru
```

Values from the calculation:
As for the calculated volume: 66 Å³ per cell.

Entry B
SrAgRu: relaxed, PBE-GGA.

Structure (POSCAR):
```
SrAgRu
1.0
0.0000 3.3635 3.3635
3.3635 0.0000 3.3635
3.3635 3.3635 0.0000
Sr Ag Ru
1 1 1
direct
0.0000 0.0000 0.0000 Sr
0.5000 0.5000 0.5000 Ag
0.7500 0.7500 0.7500 Ru
```

Values from the calculation:
As for the calculated volume: 76 Å³ per cell.

Entry C
SrAgRu: relaxed, PBE-GGA.

Structure (POSCAR):
```
SrAgRu
1.0
-1.8025 1.8025 5.2990
1.8025 -1.8025 5.2990
1.8025 1.8025 -5.2990
Sr Ag Ru
1 1 1
direct
0.0000 0.0000 0.0000 Sr
0.2917 0.2917 0.0000 Ag
0.7028 0.7028 0.0000 Ru
```

Values from the calculation:
As for the calculated volume: 69 Å³ per cell.

Need the numbers? Relative energies in eV/atom: entry A 0.347; entry B 0.273; entry C 0.000.

Entry A
SrAg3Ru: relaxed, PBE-GGA.

Structure (POSCAR):
```
SrAg3Ru
1.0
5.4663 0.0000 0.0000
0.0000 5.4663 0.0000
0.0000 0.0000 5.4663
Sr Ag Ru
1 3 1
direct
0.0000 0.0000 0.0000 Sr
0.0000 0.0000 0.5000 Ag
0.0000 0.5000 0.0000 Ag
0.5000 0.0000 0.0000 Ag
0.5000 0.5000 0.5000 Ru
```

Values from the calculation:
As for the calculated volume: 163 Å³ per cell.

Entry B
SrAg3Ru: relaxed, PBE-GGA.

Structure (POSCAR):
```
SrAg3Ru
1.0
5.1217 0.0000 0.0000
0.0000 5.1217 0.0000
0.0000 0.0000 5.1217
Sr Ag Ru
1 3 1
direct
0.0000 0.0000 0.0000 Sr
0.0000 0.5000 0.5000 Ag
0.5000 0.0000 0.5000 Ag
0.5000 0.5000 0.0000 Ag
0.5000 0.5000 0.5000 Ru
```

Values from the calculation:
As for the calculated volume: 134 Å³ per cell.

Need the numbers? Relative energies in eV/atom: entry A 1.239; entry B 0.000.

Entry A
SrAg2Ru: relaxed, PBE-GGA.

Structure (POSCAR):
```
SrAg2Ru
1.0
1.5312 0.8841 10.0084
-1.5312 0.8841 10.0084
0.0000 -1.7681 10.0084
Sr Ag Ru
1 2 1
direct
0.0000 0.0000 0.0000 Sr
0.2411 0.2411 0.2411 Ag
0.7589 0.7589 0.7589 Ag
0.5000 0.5000 0.5000 Ru
```

Values from the calculation:
As for the calculated volume: 81 Å³ per cell.

Entry B
SrAg2Ru: relaxed, PBE-GGA.

Structure (POSCAR):
```
SrAg2Ru
1.0
3.0886 0.0000 0.0000
0.0000 4.8270 0.0000
-1.3110 0.0000 5.7059
Sr Ag Ru
1 2 1
direct
0.0000 0.0000 0.0000 Sr
0.3194 0.5000 0.7108 Ag
0.6806 0.5000 0.2892 Ag
0.5000 0.0000 0.5000 Ru
```

Values from the calculation:
As for the calculated volume: 85 Å³ per cell.

Need the numbers? Relative energies in eV/atom: entry A 0.332; entry B 0.000.

Entry A
SrAg2Ru: relaxed, PBE-GGA.

Structure (POSCAR):
```
SrAg2Ru
1.0
2.9308 -5.0367 0.0000
2.9308 5.0367 0.0000
-1.1441 0.0000 2.7747
Sr Ag Ru
1 2 1
direct
0.0000 0.0000 0.0000 Sr
0.0000 0.5000 0.5000 Ag
0.5000 0.0000 0.5000 Ag
0.5000 0.5000 0.0000 Ru
```

Values from the calculation:
As for the calculated volume: 82 Å³ per cell.

Entry B
SrAg2Ru: relaxed, PBE-GGA.

Structure (POSCAR):
```
SrAg2Ru
1.0
-2.3419 2.3419 9.4885
2.3419 -2.3419 9.4885
2.3419 2.3419 -9.4885
Sr Ag Ru
2 4 2
direct
0.0000 0.0000 0.0000 Sr
0.7500 0.2500 0.5000 Sr
0.2361 0.6250 0.1111 Ag
0.3750 0.4861 0.6111 Ag
0.5139 0.1250 0.8889 Ag
0.8750 0.7639 0.3889 Ag
0.2500 0.7500 0.5000 Ru
0.5000 0.5000 0.0000 Ru
```

Values from the calculation:
As for the calculated volume: 208 Å³ per cell.

Need the numbers? Relative energies in eV/atom: entry A 0.000; entry B 0.131.